# 1
# MgTiPt

An optimized crystal structure of MgTiPt (GGA-PBE, Alexandria via LeMat-Bulk).

Results
DOS(E_F) (states/eV per cell): 5.69
DFT formation energy (meV/atom): 199
Energy (eV for the cell shown): -29.9
Space group: Cmmm, No. 65

Unit cell a=2.8211 b=7.0578 c=7.0578 alpha=79.88 beta=90.00 gamma=90.00
Last column: nearest neighbours and their distance in Å.
Fractional positions:
Pt1 0.5000 0.7665 0.2335  3 Ti 2.42-2.54
Pt2 0.5000 0.2335 0.7665  3 Ti 2.42-2.54
Mg1 0.0000 0.7393 0.7393  2 Mg 2.82, 3 Ti 2.82-2.95
Mg2 0.0000 0.2607 0.2607  2 Mg 2.82, 3 Ti 2.82-2.95
Ti1 0.5000 0.5000 0.5000  2 Pt 2.42
Ti2 0.0000 0.0000 0.0000  4 Pt 2.54, 2 Ti 2.82, 2 Mg 2.82


# 2
# Pm5Sn6Pd

An optimized crystal structure of Pm5Sn6Pd (GGA-PBE, Alexandria via LeMat-Bulk).

Results
DOS(E_F) (states/eV per cell): 7.96
DFT formation energy (meV/atom): -504
Energy (eV for the cell shown): -59.0
Space group: C2/m, No. 12

Unit cell a=6.9767 b=9.2394 c=7.1675 alpha=49.87 beta=83.27 gamma=79.53
Last column: nearest neighbours and their distance in Å.
Fractional positions:
Pm1 0.5000 0.5000 0.0000  6 Sn 3.16-3.49
Pm2 0.5000 0.1621 0.6758  6 Sn 3.15-3.48
Pm3 0.5000 0.8379 0.3242  6 Sn 3.15-3.48
Pm4 0.0000 0.6884 0.6231  6 Sn 3.12-3.29, 1 Pd 3.41
Pm5 0.0000 0.3116 0.3769  6 Sn 3.12-3.29, 1 Pd 3.41
Sn1 0.7645 0.3840 0.7146  1 Pd 2.96, 4 Pm 3.12-3.18, 1 Sn 3.13
Sn2 0.2355 0.9014 0.7146  1 Pd 2.96, 4 Pm 3.12-3.18, 1 Sn 3.13
Sn3 0.7645 0.0986 0.2854  1 Pd 2.96, 4 Pm 3.12-3.18, 1 Sn 3.13
Sn4 0.2355 0.6160 0.2854  1 Pd 2.96, 4 Pm 3.12-3.18, 1 Sn 3.13
Sn5 0.8024 0.7621 0.0000  1 Pd 2.80
Sn6 0.1976 0.2379 0.0000  1 Pd 2.80
Pd1 0.0000 0.0000 0.0000  6 Sn 2.80-2.96


# 3
# LiFe2Se

An optimized crystal structure of LiFe2Se (GGA-PBE, Alexandria via LeMat-Bulk).

Results
DOS(E_F) (states/eV per cell): 2.87
Formation energy (no corrections) (eV/atom): -0.02
Energy (eV for the cell shown): -22.4
Space group: P4/mmm, No. 123

Unit cell a=3.6285 b=3.6285 c=4.0550 alpha=90.00 beta=90.00 gamma=90.00
Last column: nearest neighbours and their distance in Å.
Fractional positions:
Fe1 0.5000 0.5000 0.0000  4 Fe 2.57, 4 Se 2.72, 4 Li 2.72
Fe2 0.0000 0.0000 0.0000  4 Fe 2.57, 4 Li 2.72, 4 Se 2.72
Se1 0.0000 0.5000 0.5000  4 Li 2.57, 8 Fe 2.72
Li1 0.5000 0.0000 0.5000  4 Se 2.57, 8 Fe 2.72


# 4
# BeNi2Ru

An optimized crystal structure of BeNi2Ru (GGA-PBE, Alexandria via LeMat-Bulk).

Results
DOS(E_F) (states/eV per cell): 4.47
DFT formation energy (meV/atom): -49
Energy (eV for the cell shown): -24.8
Space group: Cm, No. 8

Unit cell a=4.6183 b=4.6183 c=4.3421 alpha=65.55 beta=65.55 gamma=32.02
Last column: nearest neighbours and their distance in Å.
Fractional positions:
Be1 0.2615 0.2615 0.3139  4 Ni 2.29-2.44, 3 Ru 2.42-2.47, 2 Be 2.55
Ru1 0.5116 0.5116 0.4260  3 Be 2.42-2.47, 7 Ni 2.53-2.60, 2 Ru 2.55
Ni1 0.7456 0.7456 0.8064  5 Ni 2.44-2.55, 4 Be 2.44-2.60, 3 Ru 2.56-2.60
Ni2 0.9812 0.9812 0.9536  2 Be 2.29, 5 Ni 2.44-2.55, 4 Ru 2.53


# 5
# CdBNO2

An optimized crystal structure of CdBNO2 (GGA-PBE, Alexandria via LeMat-Bulk).

Results
DOS(E_F) (states/eV per cell): 1.97
Formation energy (no corrections) (eV/atom): 0.03
Energy (eV for the cell shown): -25.7
Space group: P4/mmm, No. 123

Unit cell a=4.0227 b=4.0227 c=2.9029 alpha=90.00 beta=90.00 gamma=90.00
Last column: nearest neighbours and their distance in Å.
Fractional positions:
O1 0.5000 0.0000 0.0000  2 B 2.01
O2 0.0000 0.5000 0.0000  2 B 2.01
Cd1 0.5000 0.5000 0.5000  8 O 2.48
B1 0.0000 0.0000 0.0000  2 N 1.45
N1 0.0000 0.0000 0.5000  2 B 1.45


# 6
# Li2MgIn

An optimized crystal structure of Li2MgIn (GGA-PBE, Alexandria via LeMat-Bulk).

Results
DOS(E_F) (states/eV per cell): 0.53
DFT formation energy (meV/atom): -216
Energy (eV for the cell shown): -9.0
Space group: Imm2, No. 44

Unit cell a=5.2372 b=5.2372 c=5.2372 alpha=135.45 beta=127.31 gamma=71.41
Last column: nearest neighbours and their distance in Å.
Fractional positions:
Li1 0.2415 0.7415 0.5000  2 Li 2.82, 4 Mg 2.93-3.13, 4 In 3.06
Li2 0.0057 0.0057 0.0000  2 Li 2.82, 2 In 2.89, 4 Mg 3.06
Mg1 0.4947 0.4947 0.0000  8 Li 2.93-3.13, 4 In 2.99-3.07
In1 0.7582 0.2582 0.5000  8 Li 2.89-3.16, 4 Mg 2.99-3.07


# 7
# NaEuMgGe

An optimized crystal structure of NaEuMgGe (GGA-PBE, Alexandria via LeMat-Bulk).

Results
DOS(E_F) (states/eV per cell): 2.22
DFT formation energy (meV/atom): -185
Energy (eV for the cell shown): -18.5
Space group: F-43m, No. 216

Unit cell a=5.1842 b=5.1842 c=5.1842 alpha=60.00 beta=60.00 gamma=60.00
Last column: nearest neighbours and their distance in Å.
Fractional positions:
Mg1 0.2500 0.2500 0.2500  4 Ge 3.17, 4 Na 3.17
Ge1 0.5000 0.5000 0.5000  4 Eu 3.17, 4 Mg 3.17
Na1 0.0000 0.0000 0.0000  4 Mg 3.17, 4 Eu 3.17
Eu1 0.7500 0.7500 0.7500  4 Na 3.17, 4 Ge 3.17


# 8
# MnPt5Rh2

An optimized crystal structure of MnPt5Rh2 (GGA-PBE, Alexandria via LeMat-Bulk).

Results
DOS(E_F) (states/eV per cell): 45.70
DFT formation energy (meV/atom): 0
Energy (eV for the cell shown): -216.3
Space group: C2/c, No. 15

Unit cell a=8.1801 b=11.2068 c=8.1776 alpha=53.06 beta=59.99 gamma=68.59
Last column: nearest neighbours and their distance in Å.
Fractional positions:
Pt1 0.2801 0.8799 0.7130  5 Pt 2.67-2.81, 3 Rh 2.69-2.82, 2 Mn 2.69-2.77
Pt2 0.8730 0.6201 0.7870  5 Pt 2.67-2.81, 3 Rh 2.69-2.82, 2 Mn 2.69-2.77
Pt3 0.5280 0.6251 0.1141  2 Mn 2.63-2.65, 3 Rh 2.69-2.90, 6 Pt 2.73-2.89
Pt4 0.7328 0.1251 0.6141  2 Mn 2.63-2.65, 3 Rh 2.69-2.90, 6 Pt 2.73-2.89
Pt5 0.5414 0.6240 0.4612  1 Mn 2.66, 7 Pt 2.72-2.89, 4 Rh 2.73-2.81
Pt6 0.1270 0.3799 0.2130  5 Pt 2.67-2.81, 3 Rh 2.69-2.82, 2 Mn 2.69-2.77
Pt7 0.4720 0.3749 0.8859  2 Mn 2.63-2.65, 3 Rh 2.69-2.90, 6 Pt 2.73-2.89
Pt8 0.4586 0.3760 0.5388  1 Mn 2.66, 7 Pt 2.72-2.89, 4 Rh 2.73-2.81
Pt9 0.6266 0.8760 0.0388  1 Mn 2.66, 7 Pt 2.72-2.89, 4 Rh 2.73-2.81
Pt10 0.8810 0.6252 0.4530  4 Rh 2.62-2.74, 4 Pt 2.67-2.75, 1 Mn 2.74
Pt11 0.0408 0.1252 0.9530  4 Rh 2.62-2.74, 4 Pt 2.67-2.75, 1 Mn 2.74
Pt12 0.2672 0.8749 0.3859  2 Mn 2.63-2.65, 3 Rh 2.69-2.90, 6 Pt 2.73-2.89
Pt13 0.7935 0.3740 0.2007  3 Rh 2.69-2.86, 2 Mn 2.69, 6 Pt 2.71-2.81
Pt14 0.1190 0.3748 0.5470  4 Rh 2.62-2.74, 4 Pt 2.67-2.75, 1 Mn 2.74
Pt15 0.7199 0.1201 0.2870  5 Pt 2.67-2.81, 3 Rh 2.69-2.82, 2 Mn 2.69-2.77
Pt16 0.9592 0.8748 0.0470  4 Rh 2.62-2.74, 4 Pt 2.67-2.75, 1 Mn 2.74
Pt17 0.3734 0.1240 0.9612  1 Mn 2.66, 7 Pt 2.72-2.89, 4 Rh 2.73-2.81
Pt18 0.2065 0.6260 0.7993  3 Rh 2.69-2.86, 2 Mn 2.69, 6 Pt 2.71-2.81
Pt19 0.3683 0.1260 0.2993  3 Rh 2.69-2.86, 2 Mn 2.69, 6 Pt 2.71-2.81
Pt20 0.6317 0.8740 0.7007  3 Rh 2.69-2.86, 2 Mn 2.69, 6 Pt 2.71-2.81
Mn1 0.4579 0.3693 0.2192  8 Pt 2.63-2.77, 1 Rh 2.69, 1 Mn 2.88
Mn2 0.0463 0.1307 0.2808  8 Pt 2.63-2.77, 1 Rh 2.69, 1 Mn 2.88
Mn3 0.9537 0.8693 0.7192  8 Pt 2.63-2.77, 1 Rh 2.69, 1 Mn 2.88
Mn4 0.5421 0.6307 0.7808  8 Pt 2.63-2.77, 1 Rh 2.69, 1 Mn 2.88
Rh1 0.1239 0.3759 0.8727  9 Pt 2.69-2.90, 1 Mn 2.69, 1 Rh 2.78
Rh2 0.2802 0.8716 0.0495  8 Pt 2.62-2.86, 2 Rh 2.65-2.78
Rh3 0.6276 0.8759 0.3727  9 Pt 2.69-2.90, 1 Mn 2.69, 1 Rh 2.78
Rh4 0.7986 0.3716 0.5495  8 Pt 2.62-2.86, 2 Rh 2.65-2.78
Rh5 0.7198 0.1284 0.9505  8 Pt 2.62-2.86, 2 Rh 2.65-2.78
Rh6 0.2014 0.6284 0.4505  8 Pt 2.62-2.86, 2 Rh 2.65-2.78
Rh7 0.8761 0.6241 0.1273  9 Pt 2.69-2.90, 1 Mn 2.69, 1 Rh 2.78
Rh8 0.3724 0.1241 0.6273  9 Pt 2.69-2.90, 1 Mn 2.69, 1 Rh 2.78